Record 1
Below is an optimized crystal structure of YOsICl2, with properties calculated at the PBE level.

```
YOsICl2
1.0
-0.680 0.078 4.753
-4.868 -2.124 -0.662
1.876 -4.407 0.341
Y I Cl Os
1 1 2 1
Cartesian
-1.836 -3.227 2.216
-2.434 -1.062 -0.331
-0.340 0.039 2.377
0.938 -2.204 0.170
0.000 0.000 0.000
```

Calculated values
crystal system = tetragonal
space group = P4/mmm

***

Record 2
Below is an optimized crystal structure of ZrOs2ICl, with properties calculated at the PBE level.

```
ZrOs2ICl
1.0
4.484 0.000 0.000
0.000 4.854 0.000
0.000 0.000 4.484
I Cl Os Zr
1 1 2 1
Cartesian
2.242 2.427 2.242
0.000 0.000 0.000
0.000 0.000 2.242
2.242 0.000 0.000
0.000 2.427 0.000
```

Calculated values
crystal system = tetragonal
space group = P4/mmm

***

Looking at E_form (uncorrected) for the records above, in order, we have 182 1429 meV/atom.
Looking at uncorrected energy for the records above, in order, we have -4.41 -5.45 eV/atom.